Entry 1:
# CsZnCo2H (PBE, optimized geometry)
# - VASP energy (eV per atom) = -1.977
data_CsZnCo2H
_chemical_formula_sum 'Cs1 Zn1 Co2 H1'
_symmetry_space_group_name_H-M 'P 4/m m m'
_symmetry_Int_Tables_number 123
_symmetry_space_group_name_Hall '-P 4 2'
_cell_length_a 4.972
_cell_length_b 4.972
_cell_length_c 3.693
_cell_angle_alpha 90.00
_cell_angle_beta 90.00
_cell_angle_gamma 90.00
loop_
_atom_site_label
_atom_site_type_symbol
_atom_site_fract_x
_atom_site_fract_y
_atom_site_fract_z
Cs1 Cs 0.000 0.000 0.000
Zn1 Zn 0.500 0.500 0.500
Co1 Co 0.000 0.500 0.000
H1 H 0.000 0.000 0.500

***

Entry 2:
# CsHfCo3 (PBE, optimized geometry)
# - ΔE_f (meV/atom) = 1424
# - VASP energy (eV per atom) = -5.001
# - energy above the most stable polymorph in this dataset (eV/atom) = 0.000
data_CsHfCo3
_chemical_formula_sum 'Cs1 Hf1 Co3'
_symmetry_space_group_name_H-M 'P m -3 m'
_symmetry_Int_Tables_number 221
_symmetry_space_group_name_Hall '-P 4 2 3'
_cell_length_a 4.874
_cell_length_b 4.874
_cell_length_c 4.874
_cell_angle_alpha 90.00
_cell_angle_beta 90.00
_cell_angle_gamma 90.00
loop_
_atom_site_label
_atom_site_type_symbol
_atom_site_fract_x
_atom_site_fract_y
_atom_site_fract_z
Cs1 Cs 0.000 0.000 0.000
Hf1 Hf 0.500 0.500 0.500
Co1 Co 0.000 0.500 0.500

***

Entry 3:
# CsHf2Co (PBE, optimized geometry)
# - ΔE_f (meV/atom) = 1226
# - VASP energy (eV per atom) = -5.741
# - energy above the most stable polymorph in this dataset (eV/atom) = 0.082
data_CsHf2Co
_chemical_formula_sum 'Cs4 Hf8 Co4'
_symmetry_space_group_name_H-M 'F m -3 m'
_symmetry_Int_Tables_number 225
_symmetry_space_group_name_Hall '-F 4 2 3'
_cell_length_a 6.942
_cell_length_b 6.942
_cell_length_c 6.942
_cell_angle_alpha 90.00
_cell_angle_beta 90.00
_cell_angle_gamma 90.00
loop_
_atom_site_label
_atom_site_type_symbol
_atom_site_fract_x
_atom_site_fract_y
_atom_site_fract_z
Cs1 Cs 0.000 0.000 0.000
Hf1 Hf 0.250 0.250 0.250
Co1 Co 0.000 0.000 0.500

***

Entry 4:
# CsHf2Co (PBE, optimized geometry)
# - ΔE_f (meV/atom) = 1143
# - VASP energy (eV per atom) = -5.823
# - energy above the most stable polymorph in this dataset (eV/atom) = 0.000
data_CsHf2Co
_chemical_formula_sum 'Cs4 Hf8 Co4'
_symmetry_space_group_name_H-M 'I 41/a m d'
_symmetry_Int_Tables_number 141
_cell_length_a 6.697
_cell_length_b 6.697
_cell_length_c 13.227
_cell_angle_alpha 90.00
_cell_angle_beta 90.00
_cell_angle_gamma 90.00
loop_
_symmetry_equiv_pos_as_xyz
'x,y,z'
'-x,-y,-z'
'-y+1/4,x+3/4,z+1/4'
'y+1/4,-x+3/4,-z+1/4'
'-x+1/2,-y,z+1/2'
'x+1/2,y,-z+1/2'
'y+1/4,-x+1/4,z+3/4'
'-y+1/4,x+1/4,-z+3/4'
'x,-y,-z'
'-x,y,z'
'-y+1/4,-x+1/4,-z+3/4'
'y+1/4,x+1/4,z+3/4'
'-x+1/2,y,-z+1/2'
'x+1/2,-y,z+1/2'
'y+1/4,x+3/4,-z+1/4'
'-y+1/4,-x+3/4,z+1/4'
'x+1/2,y+1/2,z+1/2'
'-x+1/2,-y+1/2,-z+1/2'
'-y+3/4,x+1/4,z+3/4'
'y+3/4,-x+1/4,-z+3/4'
'-x,-y+1/2,z'
'x,y+1/2,-z'
'y+3/4,-x+3/4,z+1/4'
'-y+3/4,x+3/4,-z+1/4'
'x+1/2,-y+1/2,-z+1/2'
'-x+1/2,y+1/2,z+1/2'
'-y+3/4,-x+3/4,-z+1/4'
'y+3/4,x+3/4,z+1/4'
'-x,y+1/2,-z'
'x,-y+1/2,z'
'y+3/4,x+1/4,-z+3/4'
'-y+3/4,-x+1/4,z+3/4'
loop_
_atom_site_label
_atom_site_type_symbol
_atom_site_fract_x
_atom_site_fract_y
_atom_site_fract_z
Cs1 Cs 0.000 0.250 0.375
Hf1 Hf 0.000 0.000 0.000
Co1 Co 0.000 0.250 0.875

***

Entry 5:
# CsHfCo3 (PBE, optimized geometry)
# - ΔE_f (meV/atom) = 2215
# - VASP energy (eV per atom) = -4.210
# - energy above the most stable polymorph in this dataset (eV/atom) = 0.790
data_CsHfCo3
_chemical_formula_sum 'Cs1 Hf1 Co3'
_symmetry_space_group_name_H-M 'P m -3 m'
_symmetry_Int_Tables_number 221
_symmetry_space_group_name_Hall '-P 4 2 3'
_cell_length_a 4.597
_cell_length_b 4.597
_cell_length_c 4.597
_cell_angle_alpha 90.00
_cell_angle_beta 90.00
_cell_angle_gamma 90.00
loop_
_atom_site_label
_atom_site_type_symbol
_atom_site_fract_x
_atom_site_fract_y
_atom_site_fract_z
Cs1 Cs 0.000 0.000 0.000
Hf1 Hf 0.500 0.500 0.500
Co1 Co 0.000 0.000 0.500

***

Entry 6:
# Cs2HfCo (PBE, optimized geometry)
# - ΔE_f (meV/atom) = 1949
# - VASP energy (eV per atom) = -2.742
data_Cs2HfCo
_chemical_formula_sum 'Cs8 Hf4 Co4'
_symmetry_space_group_name_H-M 'F m -3 m'
_symmetry_Int_Tables_number 225
_symmetry_space_group_name_Hall '-F 4 2 3'
_cell_length_a 8.701
_cell_length_b 8.701
_cell_length_c 8.701
_cell_angle_alpha 90.00
_cell_angle_beta 90.00
_cell_angle_gamma 90.00
loop_
_atom_site_label
_atom_site_type_symbol
_atom_site_fract_x
_atom_site_fract_y
_atom_site_fract_z
Cs1 Cs 0.250 0.250 0.250
Hf1 Hf 0.000 0.000 0.000
Co1 Co 0.000 0.000 0.500

***

Entry 7:
# CsHfCoMo2 (PBE, optimized geometry)
# - ΔE_f (meV/atom) = 1875
# - VASP energy (eV per atom) = -6.040
data_CsHfCoMo2
_chemical_formula_sum 'Cs1 Hf1 Co1 Mo2'
_symmetry_space_group_name_H-M 'P 4/m m m'
_symmetry_Int_Tables_number 123
_symmetry_space_group_name_Hall '-P 4 2'
_cell_length_a 4.642
_cell_length_b 4.642
_cell_length_c 5.057
_cell_angle_alpha 90.00
_cell_angle_beta 90.00
_cell_angle_gamma 90.00
loop_
_atom_site_label
_atom_site_type_symbol
_atom_site_fract_x
_atom_site_fract_y
_atom_site_fract_z
Cs1 Cs 0.000 0.000 0.000
Hf1 Hf 0.500 0.500 0.000
Co1 Co 0.000 0.000 0.500
Mo1 Mo 0.000 0.500 0.500

***

Entry 8:
# CsRbHf2Co (PBE, optimized geometry)
# - ΔE_f (meV/atom) = 2573
# - VASP energy (eV per atom) = -3.194
data_CsRbHf2Co
_chemical_formula_sum 'Cs1 Rb1 Hf2 Co1'
_symmetry_space_group_name_H-M 'P 4/m m m'
_symmetry_Int_Tables_number 123
_symmetry_space_group_name_Hall '-P 4 2'
_cell_length_a 5.633
_cell_length_b 5.633
_cell_length_c 4.738
_cell_angle_alpha 90.00
_cell_angle_beta 90.00
_cell_angle_gamma 90.00
loop_
_atom_site_label
_atom_site_type_symbol
_atom_site_fract_x
_atom_site_fract_y
_atom_site_fract_z
Cs1 Cs 0.000 0.000 0.000
Rb1 Rb 0.500 0.500 0.500
Hf1 Hf 0.000 0.500 0.500
Co1 Co 0.500 0.500 0.000